The following is a PBE+U calculation of a relaxed structure of AcVCo2O6, from Alexandria.

Output
**Calculated total energy**: -6.993 eV/atom
**Space group**: R3 (146)

Cell and atoms, written as POSCAR:
```
AcVCo2O6
1.0
-1.3904 -4.6305 2.1265
0.7370 -4.4758 -2.7048
4.1824 -3.4744 1.7319
O V Ac Co
6 1 1 2
direct
0.7307 0.1963 0.7684 O
0.9222 0.6175 0.2132 O
0.3046 0.7305 0.7683 O
0.6173 0.2473 0.2131 O
0.1965 0.3046 0.7683 O
0.2473 0.9222 0.2130 O
0.3237 0.3236 0.0289 V
0.7838 0.7838 0.6485 Ac
0.5310 0.5312 0.4068 Co
0.0044 0.0044 0.9867 Co
```